Entry 1:
First-principles (meta-GGA SCAN) data for Si2SbW at its PBEsol-relaxed geometry, as listed in Alexandria.

Computed properties:
The volume is 18.0 Å³/atom. For the total magnetization, the calculation gives 0.00 μB per formula unit. Its raw formation energy is 0.466 eV/atom. The final energy is -125.12 eV for the cell shown.

a = 3.144 Å, b = 3.144 Å, c = 7.294 Å
α = 90.00°, β = 90.00°, γ = 90.00°
Atoms (fractional coordinates):
Si  0.000  0.000  0.000
Si  0.500  0.500  0.185
Sb  0.500  0.500  0.622
W  0.000  0.000  0.357

Entry 2:
First-principles (meta-GGA SCAN) data for KFeCu2 at its PBEsol-relaxed geometry, as listed in Alexandria.

Computed properties:
The volume is 17.3 Å³/atom. For the total magnetization, the calculation gives 3.05 μB per formula unit. The formation energy is 0.825 eV per atom. The final energy is -53.56 eV for the cell shown.

a = 5.845 Å, b = 5.845 Å, c = 5.845 Å
α = 154.44°, β = 126.13°, γ = 60.55°
Atoms (fractional coordinates):
K  0.000  0.000  0.000
Fe  0.500  0.500  0.000
Cu  0.295  0.795  0.500
Cu  0.705  0.205  0.500

Entry 3:
First-principles (meta-GGA SCAN) data for K2InCo at its PBEsol-relaxed geometry, as listed in Alexandria.

Computed properties:
The volume is 25.9 Å³/atom. For the total magnetization, the calculation gives 2.60 μB per formula unit. The formation energy is 0.591 eV per atom. The final energy is -64.98 eV for the cell shown.

a = 6.345 Å, b = 6.345 Å, c = 6.345 Å
α = 140.23°, β = 140.23°, γ = 57.50°
Atoms (fractional coordinates):
K  0.250  0.750  0.500
K  0.750  0.250  0.500
In  0.000  0.000  0.000
Co  0.500  0.500  0.000